1.
## PrSmCoRu (GGA-PBE)

Data for a relaxed structure of PrSmCoRu.

Structure (POSCAR):
```
PrSmCoRu
1.0
-4.884 -0.548 -0.377
-1.870 -4.025 -2.144
-2.317 -3.392 2.724
Pr Co Ru Sm
1 1 1 1
Direct
0.000 0.000 0.000 Pr
0.250 0.250 0.250 Co
0.750 0.750 0.750 Ru
0.500 0.500 0.500 Sm
```

Crystal system: cubic
DFT formation energy, eV per atom: 0.00
Density, Mg/m³: 8.85
D(E_F), states/eV per cell: 4.3
Space group: No. 216
Calculated total energy, eV/cell: -25.90



2.
## PuFeSi3Tc (GGA-PBE)

Data for a relaxed structure of PuFeSi3Tc.

Structure (POSCAR):
```
PuFeSi3Tc
1.0
5.516 0.000 0.000
0.000 7.361 0.000
0.000 -3.680 5.291
Si Fe Pu Tc
6 2 2 2
Direct
0.500 0.758 0.000 Si
0.750 0.764 0.528 Si
0.000 0.242 0.000 Si
0.000 0.758 0.000 Si
0.500 0.242 0.000 Si
0.250 0.236 0.472 Si
0.750 0.964 0.929 Fe
0.250 0.036 0.071 Fe
0.250 0.761 0.522 Pu
0.750 0.239 0.478 Pu
0.750 0.552 0.104 Tc
0.250 0.448 0.896 Tc
```

Crystal system: orthorhombic
Density, Mg/m³: 7.45
D(E_F), states/eV per cell: 27.4
Space group: No. 63
Calculated total energy, eV/cell: -101.61
Uncorrected formation energy, eV per formula unit: -1.37



3.
## Na2SmBiSe4 (GGA-PBE)

Data for a relaxed structure of Na2SmBiSe4.

Structure (POSCAR):
```
Na2SmBiSe4
1.0
-2.321 1.149 3.351
-5.499 -4.271 -2.344
4.472 -3.988 4.464
Se Bi Na Sm
4 1 2 1
Direct
0.000 0.256 0.766 Se
0.500 0.248 0.237 Se
0.500 0.752 0.763 Se
0.000 0.744 0.234 Se
0.000 0.000 0.000 Bi
0.500 0.000 0.500 Na
0.000 0.500 0.500 Na
0.500 0.500 0.000 Sm
```

Crystal system: monoclinic
Density, Mg/m³: 5.45
D(E_F), states/eV per cell: 0.0
Space group: No. 10
Calculated total energy, eV/cell: -34.90
Uncorrected formation energy, eV per formula unit: -9.73



4.
## Ce2DyGa2Pd2 (GGA-PBE)

Data for a relaxed structure of Ce2DyGa2Pd2.

Structure (POSCAR):
```
Ce2DyGa2Pd2
1.0
4.427 0.000 0.000
2.214 3.834 0.000
2.214 1.278 8.719
Pd Ce Dy Ga
2 2 1 2
Direct
0.598 0.598 0.205 Pd
0.402 0.402 0.795 Pd
0.137 0.137 0.589 Ce
0.863 0.863 0.411 Ce
0.000 0.000 0.000 Dy
0.263 0.263 0.211 Ga
0.737 0.737 0.789 Ga
```

Crystal system: trigonal
DFT formation energy, eV per atom: -0.68
Density, Mg/m³: 8.92
D(E_F), states/eV per cell: 7.4
Space group: No. 166
Calculated total energy, eV/cell: -37.69



5.
## Cd2SeO (GGA-PBE)

Data for a relaxed structure of Cd2SeO.

Structure (POSCAR):
```
Cd2SeO
1.0
3.720 0.000 0.000
1.860 3.221 0.000
1.860 1.074 6.133
Cd O Se
2 1 1
Direct
0.264 0.264 0.207 Cd
0.736 0.736 0.793 Cd
0.000 0.000 0.000 O
0.500 0.500 0.500 Se
```

Crystal system: trigonal
Density, Mg/m³: 7.23
ΔE to the lowest computed polymorph, meV per atom: 164.2
D(E_F), states/eV per cell: 0.9
Space group: No. 166
Calculated total energy, eV/cell: -12.71
Uncorrected formation energy, eV per formula unit: -2.44



6.
## Sr2YCd (GGA-PBE)

Data for a relaxed structure of Sr2YCd.

Structure (POSCAR):
```
Sr2YCd
1.0
4.600 0.000 0.000
0.000 5.558 0.000
0.000 0.000 5.648
Sr Cd Y
2 1 1
Direct
0.000 0.000 0.000 Sr
0.500 0.500 0.000 Sr
0.000 0.500 0.500 Cd
0.500 0.000 0.500 Y
```

Crystal system: orthorhombic
DFT formation energy, eV per atom: 0.06
Density, Mg/m³: 4.33
D(E_F), states/eV per cell: 4.6
Space group: No. 47
Calculated total energy, eV/cell: -10.50



7.
## HfScN2 (GGA-PBE)

Data for a relaxed structure of HfScN2.

Structure (POSCAR):
```
HfScN2
1.0
4.912 0.000 0.000
0.000 4.912 0.000
2.456 2.456 4.897
Sc N Hf
2 4 2
Direct
0.250 0.750 0.500 Sc
0.500 0.500 0.000 Sc
0.375 0.365 0.750 N
0.635 0.125 0.250 N
0.875 0.885 0.750 N
0.115 0.625 0.250 N
0.750 0.250 0.500 Hf
0.000 0.000 0.000 Hf
```

Crystal system: tetragonal
Density, Mg/m³: 7.07
D(E_F), states/eV per cell: 3.2
Space group: No. 122
Calculated total energy, eV/cell: -78.49
Uncorrected formation energy, eV per formula unit: -6.31



8.
## CaSc2InCo (GGA-PBE)

Data for a relaxed structure of CaSc2InCo.

Structure (POSCAR):
```
CaSc2InCo
1.0
4.858 0.000 0.000
0.000 5.068 0.000
0.000 0.000 4.858
Sc In Ca Co
2 1 1 1
Direct
0.500 0.000 0.000 Sc
0.000 0.000 0.500 Sc
0.000 0.500 0.000 In
0.500 0.500 0.500 Ca
0.000 0.000 0.000 Co
```

Crystal system: tetragonal
DFT formation energy, eV per atom: -0.17
Density, Mg/m³: 4.22
D(E_F), states/eV per cell: 3.6
Space group: No. 123
Calculated total energy, eV/cell: -25.37



9.
## Ta4HgRu (GGA-PBE)

Data for a relaxed structure of Ta4HgRu.

Structure (POSCAR):
```
Ta4HgRu
1.0
0.000 3.818 3.818
3.818 0.000 3.818
3.818 3.818 0.000
Ta Hg Ru
4 1 1
Direct
0.876 0.375 0.375 Ta
0.375 0.375 0.375 Ta
0.375 0.375 0.876 Ta
0.375 0.876 0.375 Ta
0.750 0.750 0.750 Hg
0.000 0.000 0.000 Ru
```

Crystal system: cubic
DFT formation energy, eV per atom: 0.47
Density, Mg/m³: 15.30
D(E_F), states/eV per cell: 5.2
Space group: No. 216
Calculated total energy, eV/cell: -54.18



10.
## Pm4GaAg2 (GGA-PBE)

Data for a relaxed structure of Pm4GaAg2.

Structure (POSCAR):
```
Pm4GaAg2
1.0
1.122 4.899 1.384
-1.913 1.959 4.436
6.509 -0.430 6.061
Ag Ga Pm
2 1 4
Direct
0.253 0.253 0.240 Ag
0.747 0.747 0.760 Ag
0.000 0.000 0.000 Ga
0.874 0.874 0.379 Pm
0.379 0.379 0.864 Pm
0.621 0.621 0.136 Pm
0.126 0.126 0.621 Pm
```

Crystal system: trigonal
DFT formation energy, eV per atom: -0.22
Density, Mg/m³: 7.29
D(E_F), states/eV per cell: 9.0
Space group: No. 166
Calculated total energy, eV/cell: -29.25



11.
## BaTl2Hg5 (GGA-PBE)

Data for a relaxed structure of BaTl2Hg5.

Structure (POSCAR):
```
BaTl2Hg5
1.0
-1.141 -0.692 -4.877
-4.290 -2.319 1.333
-1.797 9.787 1.652
Tl Ba Hg
2 1 5
Direct
0.749 0.749 0.498 Tl
0.251 0.251 0.502 Tl
0.000 0.000 0.000 Ba
0.369 0.869 0.739 Hg
0.500 0.500 0.000 Hg
0.869 0.369 0.739 Hg
0.631 0.131 0.261 Hg
0.131 0.631 0.261 Hg
```

Crystal system: tetragonal
DFT formation energy, eV per atom: -0.23
Density, Mg/m³: 10.67
ΔE to the lowest computed polymorph, meV per atom: 0.0
D(E_F), states/eV per cell: 4.1
Space group: No. 139
Calculated total energy, eV/cell: -10.00



12.
## PrDy6Y8 (GGA-PBE)

Data for a relaxed structure of PrDy6Y8.

Structure (POSCAR):
```
PrDy6Y8
1.0
-8.237 2.262 3.034
-6.409 -6.350 0.876
-2.820 -2.549 7.787
Dy Y Pr
6 8 1
Direct
0.891 0.769 0.877 Dy
0.538 0.109 0.123 Dy
0.769 0.462 0.877 Dy
0.462 0.891 0.877 Dy
0.231 0.538 0.123 Dy
0.109 0.231 0.123 Dy
0.281 0.890 0.575 Y
0.719 0.110 0.425 Y
0.745 0.719 0.425 Y
0.577 0.577 0.270 Y
0.110 0.745 0.425 Y
0.423 0.423 0.730 Y
0.255 0.281 0.575 Y
0.890 0.255 0.575 Y
0.000 0.000 0.000 Pr
```

Crystal system: trigonal
DFT formation energy, eV per atom: 0.13
Density, Mg/m³: 6.17
D(E_F), states/eV per cell: 23.2
Space group: No. 148
Calculated total energy, eV/cell: -82.09